one:
First-principles (PBE-GGA) data for NiTe2IBr after structural relaxation, as listed in Alexandria via LeMat-Bulk.

The calculation puts the density of states at the Fermi level at 2.63 states/eV per atom. As for the size of the total moment: 0.35 μB/atom. The space-group type is P4/mmm (123).

Cell: 5.633 5.633 5.756 Å, 90.00 90.00 90.00°
Fractional positions:
Ni (0.000, 0.000, 0.000)
Te (0.000, 0.500, 0.500)
Te (0.500, 0.000, 0.500)
I (0.500, 0.500, 0.000)
Br (0.500, 0.500, 0.500)



two:
First-principles (PBE-GGA) data for NiTe2IBr after structural relaxation, as listed in Alexandria via LeMat-Bulk.

The calculation puts the density of states at the Fermi level at 1.36 states/eV per atom. As for the size of the total moment: 0.00 μB/atom. The space-group type is P4/mmm (123).

Cell: 5.133 5.133 5.224 Å, 90.00 90.00 90.00°
Fractional positions:
Ni (0.000, 0.000, 0.000)
Te (0.000, 0.500, 0.000)
Te (0.500, 0.000, 0.000)
I (0.000, 0.000, 0.500)
Br (0.500, 0.500, 0.500)



Which structure is the least stable? The one labeled one.



one:
First-principles (PBE-GGA) data for NiTeI2Br after structural relaxation, as listed in Alexandria via LeMat-Bulk.

The calculation puts the density of states at the Fermi level at 1.36 states/eV per atom. As for the size of the total moment: 0.00 μB/atom. The space-group type is P4/mmm (123).

Cell: 5.266 5.266 5.129 Å, 90.00 90.00 90.00°
Fractional positions:
Ni (0.000, 0.000, 0.000)
Te (0.000, 0.000, 0.500)
I (0.000, 0.500, 0.000)
I (0.500, 0.000, 0.000)
Br (0.500, 0.500, 0.500)



two:
First-principles (PBE-GGA) data for NiTeI2Br after structural relaxation, as listed in Alexandria via LeMat-Bulk.

The calculation puts the density of states at the Fermi level at 1.43 states/eV per atom. As for the size of the total moment: 0.26 μB/atom. The space-group type is P4/mmm (123).

Cell: 5.832 5.832 5.668 Å, 90.00 90.00 90.00°
Fractional positions:
Ni (0.000, 0.000, 0.000)
Te (0.500, 0.500, 0.000)
I (0.000, 0.500, 0.500)
I (0.500, 0.000, 0.500)
Br (0.500, 0.500, 0.500)



Which structure is the least stable? The one labeled two.



one:
First-principles (PBE-GGA) data for NpIBr after structural relaxation, as listed in Alexandria via LeMat-Bulk.

The calculation puts the density of states at the Fermi level at 3.26 states/eV per atom. As for the size of the total moment: 1.66 μB/atom. The space-group type is P-6m2 (187).

Cell: 5.198 5.198 3.865 Å, 90.00 90.00 120.00°
Fractional positions:
Np (0.000, 0.000, 0.000)
I (0.667, 0.333, 0.500)
Br (0.333, 0.667, 0.000)



two:
First-principles (PBE-GGA) data for NpIBr after structural relaxation, as listed in Alexandria via LeMat-Bulk.

The calculation puts the density of states at the Fermi level at 1.94 states/eV per atom. As for the size of the total moment: 1.66 μB/atom. The space-group type is P2_1/m (11).

Cell: 5.206 5.209 8.012 Å, 90.00 104.93 90.00°
Fractional positions:
Np (0.250, 0.250, 0.000)
Np (0.750, 0.750, 0.000)
I (0.146, 0.750, 0.737)
I (0.854, 0.250, 0.263)
Br (0.334, 0.750, 0.212)
Br (0.666, 0.250, 0.788)



Which structure is the least stable? The one labeled one.



one:
First-principles (PBE-GGA) data for IBrO after structural relaxation, as listed in Alexandria via LeMat-Bulk.

The calculation puts the density of states at the Fermi level at 0.65 states/eV per atom. As for the size of the total moment: 0.02 μB/atom. The space-group type is P1 (1).

Cell: 4.185 4.837 5.548 Å, 69.39 89.93 65.99°
Fractional positions:
I (0.000, 0.000, 0.000)
Br (0.878, 0.101, 0.469)
O (0.425, 0.053, 0.984)



two:
First-principles (PBE-GGA) data for IBrO after structural relaxation, as listed in Alexandria via LeMat-Bulk.

The calculation puts the density of states at the Fermi level at 0.14 states/eV per atom. As for the size of the total moment: 0.00 μB/atom. The space-group type is P1 (1).

Cell: 3.887 5.502 9.515 Å, 90.79 98.80 94.79°
Fractional positions:
I (0.000, 0.000, 0.000)
I (0.327, 0.301, 0.462)
Br (0.305, 0.799, 0.409)
Br (0.553, 0.654, 0.873)
O (0.044, 0.193, 0.853)
O (0.697, 0.141, 0.098)



Which structure is the least stable? The one labeled one.



one:
First-principles (PBE-GGA) data for IBrO2 after structural relaxation, as listed in Alexandria via LeMat-Bulk.

The calculation puts the density of states at the Fermi level at 0.00 states/eV per atom. As for the size of the total moment: 0.00 μB/atom. The space-group type is P2_1/c (14).

Cell: 5.653 7.698 10.770 Å, 90.00 107.26 90.00°
Fractional positions:
I (0.185, 0.018, 0.414)
I (0.185, 0.482, 0.914)
I (0.815, 0.518, 0.086)
I (0.815, 0.982, 0.586)
Br (0.136, 0.574, 0.674)
Br (0.136, 0.926, 0.174)
Br (0.864, 0.074, 0.826)
Br (0.864, 0.426, 0.326)
O (0.128, 0.085, 0.601)
O (0.128, 0.415, 0.101)
O (0.385, 0.663, 0.985)
O (0.385, 0.837, 0.485)
O (0.615, 0.163, 0.515)
O (0.615, 0.337, 0.015)
O (0.872, 0.585, 0.899)
O (0.872, 0.915, 0.399)



two:
First-principles (PBE-GGA) data for IBrO2 after structural relaxation, as listed in Alexandria via LeMat-Bulk.

The calculation puts the density of states at the Fermi level at 0.20 states/eV per atom. As for the size of the total moment: 0.00 μB/atom. The space-group type is R-3m (166).

Cell: 6.358 6.358 6.358 Å, 34.76 34.76 34.76°
Fractional positions:
I (0.000, 0.000, 0.000)
Br (0.500, 0.500, 0.500)
O (0.119, 0.119, 0.119)
O (0.881, 0.881, 0.881)



Which structure is the least stable? The one labeled two.



one:
First-principles (PBE-GGA) data for IBrO2 after structural relaxation, as listed in Alexandria via LeMat-Bulk.

The calculation puts the density of states at the Fermi level at 0.71 states/eV per atom. As for the size of the total moment: 0.00 μB/atom. The space-group type is C2/m (12).

Cell: 3.769 3.769 5.895 Å, 90.08 90.08 59.97°
Fractional positions:
I (0.000, 0.000, 0.000)
Br (0.000, 0.000, 0.500)
O (0.333, 0.333, 0.914)
O (0.667, 0.667, 0.086)



two:
First-principles (PBE-GGA) data for IBrO2 after structural relaxation, as listed in Alexandria via LeMat-Bulk.

The calculation puts the density of states at the Fermi level at 0.60 states/eV per atom. As for the size of the total moment: 0.00 μB/atom. The space-group type is Fm-3m (225).

Cell: 4.372 4.372 4.372 Å, 60.00 60.00 60.00°
Fractional positions:
I (0.000, 0.000, 0.000)
Br (0.500, 0.500, 0.500)
O (0.250, 0.250, 0.250)
O (0.750, 0.750, 0.750)



three:
First-principles (PBE-GGA) data for IBrO2 after structural relaxation, as listed in Alexandria via LeMat-Bulk.

The calculation puts the density of states at the Fermi level at 1.51 states/eV per atom. As for the size of the total moment: 0.09 μB/atom. The space-group type is I4_1/amd (141).

Cell: 6.548 6.548 6.548 Å, 119.59 119.59 90.72°
Fractional positions:
I (0.375, 0.625, 0.750)
I (0.625, 0.375, 0.250)
Br (0.125, 0.875, 0.250)
Br (0.875, 0.125, 0.750)
O (0.000, 0.500, 0.500)
O (0.500, 0.000, 0.000)
O (0.500, 0.500, 0.000)
O (0.500, 0.500, 0.500)



four:
First-principles (PBE-GGA) data for IBrO2 after structural relaxation, as listed in Alexandria via LeMat-Bulk.

The calculation puts the density of states at the Fermi level at 0.00 states/eV per atom. As for the size of the total moment: 0.00 μB/atom. The space-group type is R-3m (166).

Cell: 5.842 5.842 5.842 Å, 39.47 39.47 39.47°
Fractional positions:
I (0.000, 0.000, 0.000)
Br (0.500, 0.500, 0.500)
O (0.371, 0.371, 0.371)
O (0.629, 0.629, 0.629)



Which structure is the least stable? The one labeled two.



one:
First-principles (PBE-GGA) data for I2BrO2 after structural relaxation, as listed in Alexandria via LeMat-Bulk.

The calculation puts the density of states at the Fermi level at 0.41 states/eV per atom. As for the size of the total moment: 0.00 μB/atom. The space-group type is I4/mmm (139).

Cell: 6.203 6.203 6.203 Å, 131.97 131.97 70.28°
Fractional positions:
I (0.250, 0.750, 0.500)
I (0.750, 0.250, 0.500)
Br (0.000, 0.000, 0.000)
O (0.216, 0.216, 0.000)
O (0.784, 0.784, 0.000)



two:
First-principles (PBE-GGA) data for I2BrO2 after structural relaxation, as listed in Alexandria via LeMat-Bulk.

The calculation puts the density of states at the Fermi level at 0.27 states/eV per atom. As for the size of the total moment: 0.00 μB/atom. The space-group type is P4/mmm (123).

Cell: 4.140 4.140 8.626 Å, 90.00 90.00 90.00°
Fractional positions:
I (0.000, 0.000, 0.000)
I (0.000, 0.000, 0.500)
Br (0.500, 0.500, 0.000)
O (0.000, 0.500, 0.500)
O (0.500, 0.000, 0.500)



three:
First-principles (PBE-GGA) data for I2BrO2 after structural relaxation, as listed in Alexandria via LeMat-Bulk.

The calculation puts the density of states at the Fermi level at 1.99 states/eV per atom. As for the size of the total moment: 0.00 μB/atom. The space-group type is P4/mmm (123).

Cell: 5.834 5.834 3.767 Å, 90.00 90.00 90.00°
Fractional positions:
I (0.000, 0.500, 0.000)
I (0.500, 0.000, 0.000)
Br (0.000, 0.000, 0.000)
O (0.000, 0.000, 0.500)
O (0.500, 0.500, 0.500)



four:
First-principles (PBE-GGA) data for I2BrO2 after structural relaxation, as listed in Alexandria via LeMat-Bulk.

The calculation puts the density of states at the Fermi level at 1.24 states/eV per atom. As for the size of the total moment: 0.07 μB/atom. The space-group type is P4/mmm (123).

Cell: 5.011 5.011 4.147 Å, 90.00 90.00 90.00°
Fractional positions:
I (0.000, 0.500, 0.000)
I (0.500, 0.000, 0.000)
Br (0.000, 0.000, 0.500)
O (0.500, 0.500, 0.000)
O (0.500, 0.500, 0.500)



Which structure is the least stable? The one labeled three.



one:
First-principles (PBE-GGA) data for I2BrO2 after structural relaxation, as listed in Alexandria via LeMat-Bulk.

The calculation puts the density of states at the Fermi level at 0.52 states/eV per atom. As for the size of the total moment: 0.07 μB/atom. The space-group type is P4/mmm (123).

Cell: 4.203 4.203 7.731 Å, 90.00 90.00 90.00°
Fractional positions:
I (0.000, 0.000, 0.000)
I (0.500, 0.500, 0.000)
Br (0.000, 0.000, 0.500)
O (0.000, 0.500, 0.500)
O (0.500, 0.000, 0.500)



two:
First-principles (PBE-GGA) data for I2BrO2 after structural relaxation, as listed in Alexandria via LeMat-Bulk.

The calculation puts the density of states at the Fermi level at 0.48 states/eV per atom. As for the size of the total moment: 0.00 μB/atom. The space-group type is P4/mbm (127).

Cell: 10.467 10.467 2.840 Å, 90.00 90.00 90.00°
Fractional positions:
I (0.223, 0.277, 0.000)
I (0.277, 0.777, 0.000)
I (0.723, 0.223, 0.000)
I (0.777, 0.723, 0.000)
Br (0.000, 0.000, 0.500)
Br (0.500, 0.500, 0.500)
O (0.172, 0.672, 0.500)
O (0.328, 0.172, 0.500)
O (0.672, 0.828, 0.500)
O (0.828, 0.328, 0.500)



Which structure is the least stable? The one labeled one.



one:
First-principles (PBE-GGA) data for I3BrO after structural relaxation, as listed in Alexandria via LeMat-Bulk.

The calculation puts the density of states at the Fermi level at 1.40 states/eV per atom. As for the size of the total moment: 0.00 μB/atom. The space-group type is Pm-3m (221).

Cell: 5.143 5.143 5.143 Å, 90.00 90.00 90.00°
Fractional positions:
I (0.000, 0.000, 0.500)
I (0.000, 0.500, 0.000)
I (0.500, 0.000, 0.000)
Br (0.500, 0.500, 0.500)
O (0.000, 0.000, 0.000)



two:
First-principles (PBE-GGA) data for I3BrO after structural relaxation, as listed in Alexandria via LeMat-Bulk.

The calculation puts the density of states at the Fermi level at 5.04 states/eV per atom. As for the size of the total moment: 0.00 μB/atom. The space-group type is Pm-3m (221).

Cell: 5.839 5.839 5.839 Å, 90.00 90.00 90.00°
Fractional positions:
I (0.000, 0.000, 0.500)
I (0.000, 0.500, 0.000)
I (0.500, 0.000, 0.000)
Br (0.000, 0.000, 0.000)
O (0.500, 0.500, 0.500)



Which structure is the least stable? The one labeled two.



one:
First-principles (PBE-GGA) data for I2BrO after structural relaxation, as listed in Alexandria via LeMat-Bulk.

The calculation puts the density of states at the Fermi level at 1.86 states/eV per atom. As for the size of the total moment: 0.00 μB/atom. The space-group type is Fm-3m (225).

Cell: 5.151 5.151 5.151 Å, 60.00 60.00 60.00°
Fractional positions:
I (0.250, 0.250, 0.250)
I (0.750, 0.750, 0.750)
Br (0.000, 0.000, 0.000)
O (0.500, 0.500, 0.500)



two:
First-principles (PBE-GGA) data for I2BrO after structural relaxation, as listed in Alexandria via LeMat-Bulk.

The calculation puts the density of states at the Fermi level at 1.33 states/eV per atom. As for the size of the total moment: 0.06 μB/atom. The space-group type is I-42d (122).

Cell: 8.149 8.149 8.149 Å, 135.28 135.28 65.09°
Fractional positions:
I (0.375, 0.127, 0.252)
I (0.873, 0.125, 0.248)
I (0.875, 0.123, 0.748)
I (0.877, 0.625, 0.752)
Br (0.250, 0.750, 0.500)
Br (0.500, 0.500, 0.000)
O (0.000, 0.000, 0.000)
O (0.750, 0.250, 0.500)



Which structure is the least stable? The one labeled one.



one:
First-principles (PBE-GGA) data for OsI2BrO after structural relaxation, as listed in Alexandria via LeMat-Bulk.

The calculation puts the density of states at the Fermi level at 0.93 states/eV per atom. As for the size of the total moment: 0.68 μB/atom. The space-group type is P4/mmm (123).

Cell: 5.927 5.927 3.757 Å, 90.00 90.00 90.00°
Fractional positions:
Os (0.000, 0.000, 0.000)
I (0.000, 0.500, 0.500)
I (0.500, 0.000, 0.500)
Br (0.500, 0.500, 0.500)
O (0.500, 0.500, 0.000)



two:
First-principles (PBE-GGA) data for OsI2BrO after structural relaxation, as listed in Alexandria via LeMat-Bulk.

The calculation puts the density of states at the Fermi level at 0.86 states/eV per atom. As for the size of the total moment: 0.00 μB/atom. The space-group type is P4/mmm (123).

Cell: 5.644 5.644 3.753 Å, 90.00 90.00 90.00°
Fractional positions:
Os (0.000, 0.000, 0.000)
I (0.000, 0.500, 0.000)
I (0.500, 0.000, 0.000)
Br (0.500, 0.500, 0.500)
O (0.000, 0.000, 0.500)



Which structure is the least stable? The one labeled one.



one:
First-principles (PBE-GGA) data for OsIBrO2 after structural relaxation, as listed in Alexandria via LeMat-Bulk.

The calculation puts the density of states at the Fermi level at 0.73 states/eV per atom. As for the size of the total moment: 0.31 μB/atom. The space-group type is P4/mmm (123).

Cell: 3.846 3.846 7.200 Å, 90.00 90.00 90.00°
Fractional positions:
Os (0.000, 0.000, 0.000)
I (0.500, 0.500, 0.000)
Br (0.500, 0.500, 0.500)
O (0.000, 0.500, 0.500)
O (0.500, 0.000, 0.500)



two:
First-principles (PBE-GGA) data for OsIBrO2 after structural relaxation, as listed in Alexandria via LeMat-Bulk.

The calculation puts the density of states at the Fermi level at 0.97 states/eV per atom. As for the size of the total moment: 0.11 μB/atom. The space-group type is P4/mmm (123).

Cell: 3.932 3.932 6.082 Å, 90.00 90.00 90.00°
Fractional positions:
Os (0.000, 0.000, 0.000)
I (0.000, 0.000, 0.500)
Br (0.500, 0.500, 0.500)
O (0.000, 0.500, 0.000)
O (0.500, 0.000, 0.000)



Which structure is the least stable? The one labeled one.